This record from Alexandria via LeMat-Bulk describes crystalline RbTePbSe3 at its relaxed geometry. The functional is PBE-GGA.

Results
**Raw total energy**: -42.16 eV per cell
**Fermi-level density of states**: 1.7 states/eV/f.u.
**Formation energy without anion corrections**: -468 meV per atom
**Total magnetic moment**: 0.0 μB/cell

abc: 4.661 8.585 12.101
angles: 102.02 90.00 90.00
Sites, in units of the cell vectors:
Rb1 0.250 0.231 0.270
Rb2 0.750 0.769 0.730
Te1 0.250 0.173 0.593
Te2 0.750 0.827 0.407
Pb1 0.250 0.626 0.123
Pb2 0.750 0.374 0.877
Se1 0.750 0.907 0.218
Se2 0.250 0.093 0.782
Se3 0.250 0.670 0.406
Se4 0.750 0.330 0.594
Se5 0.750 0.405 0.121
Se6 0.250 0.595 0.879